InSbS2 | PBE-GGA | relaxed

Calculated values
- Calculated volume: 28.298 Å³/atom
- E_tot: -3.9137 eV per atom
- Symmetry: R-3m, No. 166
- Raw formation energy: -135 meV per atom

abc: 9.076 9.076 9.076
angles: 24.52 24.52 24.52
Atoms (fractional coordinates):
1 In 0.000 0.000 0.000
2 S 0.893 0.893 0.893
3 S 0.107 0.107 0.107
4 Sb 0.500 0.500 0.500